! SrMg6FeO8, optimized geometry, DFT GGA+U; values from VASP
! * total energy: -5.898 eV/atom
! * Fermi-level density of states: 0.0 states/eV per cell
! * crystal system: tetragonal
! * calculated density: 3.90 Mg/m³
! * space group: P4/mmm
! * relative energy among the computed polymorphs: 0.17 eV per formula unit
&SYSTEM
  ibrav = 0, nat = 16, ntyp = 4
/
ATOMIC_SPECIES
Sr 87.62 Sr.upf
Mg 24.30 Mg.upf
Fe 55.84 Fe.upf
O 16.00 O.upf
CELL_PARAMETERS angstrom
4.516 0.000 0.000
0.000 4.516 0.000
0.000 0.000 8.721
ATOMIC_POSITIONS angstrom
Sr 0.000 0.000 0.000
Mg 0.000 2.258 2.280
Mg 0.000 2.258 6.441
Mg 2.258 0.000 2.280
Mg 2.258 0.000 6.441
Mg 2.258 2.258 0.000
Mg 2.258 2.258 4.360
Fe 0.000 0.000 4.360
O 0.000 0.000 2.362
O 0.000 0.000 6.359
O 0.000 2.258 0.000
O 0.000 2.258 4.360
O 2.258 0.000 0.000
O 2.258 0.000 4.360
O 2.258 2.258 2.193
O 2.258 2.258 6.528